[1]
PBE SrPaTl, relaxed; raw total energy = -11.49 eV/f.u.
1.0
0.000 3.823 3.823
3.823 0.000 3.823
3.823 3.823 0.000
Pa Sr Tl
1 1 1
direct
0.250 0.250 0.250
0.750 0.750 0.750
0.000 0.000 0.000


[2]
PBE BaZnO3, relaxed; raw total energy = -24.33 eV/f.u.
1.0
4.960 -1.735 1.246
2.252 -4.004 -2.838
4.628 1.874 -4.109
Ba O Zn
2 6 2
direct
0.883 0.883 0.350
0.117 0.117 0.650
0.422 0.418 0.231
0.418 0.930 0.231
0.930 0.422 0.231
0.070 0.578 0.769
0.582 0.070 0.769
0.578 0.582 0.769
0.663 0.663 0.010
0.337 0.337 0.990


[3]
PBE NdHo2Cd3Cu2Ag, relaxed; formation enthalpy at 0 K = -0.30 eV per atom; raw total energy = -29.52 eV/f.u.
1.0
-3.866 0.185 0.327
-0.744 -3.950 -6.569
0.388 -3.751 6.714
Ag Cd Cu Ho Nd
1 3 2 2 1
direct
0.000 0.998 0.998
0.500 0.996 0.267
0.500 0.736 0.736
0.500 0.267 0.996
0.500 0.672 0.332
0.500 0.332 0.672
0.000 0.000 0.589
0.000 0.589 0.000
0.000 0.411 0.411


[4]
PBE GdTmFe2Si2C, relaxed; raw total energy = -50.62 eV/f.u.
1.0
5.274 -1.959 0.000
5.274 1.959 0.000
-4.278 0.000 5.187
C Fe Gd Si Tm
1 2 1 2 1
direct
0.502 0.502 0.506
0.299 0.299 0.405
0.702 0.702 0.597
0.939 0.939 0.204
0.661 0.661 0.214
0.339 0.339 0.783
0.058 0.058 0.791


[5]
PBE ZrHgO3, relaxed; raw total energy = -33.75 eV/f.u.
1.0
5.012 -1.165 -2.369
2.796 -4.706 1.456
0.271 -4.484 -3.994
Hg O Zr
2 6 2
direct
0.628 0.628 0.115
0.372 0.372 0.885
0.965 0.556 0.272
0.207 0.965 0.272
0.556 0.207 0.272
0.444 0.793 0.728
0.793 0.035 0.728
0.035 0.444 0.728
0.850 0.850 0.450
0.150 0.150 0.550


[6]
PBE Na2NbAl2MoOs2, relaxed; raw total energy = -52.26 eV/f.u.
1.0
-1.757 4.092 0.049
-4.010 -1.711 -0.912
-1.158 -0.570 6.163
Al Mo Na Nb Os
2 1 2 1 2
direct
0.500 0.500 0.000
0.000 0.000 0.500
0.000 0.000 0.000
0.500 0.000 0.249
0.000 0.500 0.751
0.500 0.500 0.500
0.000 0.500 0.241
0.500 0.000 0.759


[7]
PBE ZrCoTcBi, relaxed; raw total energy = -29.81 eV/f.u.
1.0
0.000 3.267 3.267
3.267 0.000 3.267
3.267 3.267 0.000
Bi Co Tc Zr
1 1 1 1
direct
0.000 0.000 0.000
0.750 0.750 0.750
0.250 0.250 0.250
0.500 0.500 0.500


[8]
PBE GdTlPO, relaxed; raw total energy = -22.19 eV/f.u.
1.0
-2.291 0.684 -3.289
3.550 -6.080 -3.737
-4.052 -3.636 2.066
Gd O P Tl
2 2 2 2
direct
0.000 0.684 0.434
0.000 0.316 0.934
0.500 0.794 0.423
0.500 0.206 0.923
0.000 0.333 0.431
0.000 0.667 0.931
0.500 0.123 0.466
0.500 0.877 0.966


[9]
PBE Tb2GaOs3, relaxed; raw total energy = -47.91 eV/f.u.
1.0
-1.374 -1.690 -4.935
-3.548 -0.331 4.050
-2.927 7.965 -1.913
Ga Os Tb
2 6 4
direct
0.000 0.000 0.000
0.000 0.000 0.500
0.344 0.172 0.250
0.828 0.172 0.250
0.828 0.656 0.250
0.172 0.344 0.750
0.172 0.828 0.750
0.656 0.828 0.750
0.333 0.667 0.068
0.333 0.667 0.432
0.667 0.333 0.568
0.667 0.333 0.932


[10]
PBE IrOF, relaxed; raw total energy = -16.62 eV/f.u.
1.0
3.599 0.000 0.000
0.000 3.599 0.000
0.000 0.000 5.054
F Ir O
2 2 2
direct
0.000 0.000 0.000
0.500 0.500 0.000
0.500 0.000 0.283
0.000 0.500 0.717
0.000 0.000 0.500
0.500 0.500 0.500


[11]
PBE SmB4Os, relaxed; raw total energy = -42.99 eV/f.u.
1.0
-1.937 0.135 -2.600
-1.270 -0.487 2.946
-0.659 6.820 0.844
B Os Sm
4 1 1
direct
0.667 0.333 0.290
0.333 0.667 0.290
0.667 0.333 0.710
0.333 0.667 0.710
0.000 0.000 0.500
0.000 0.000 0.000


[12]
PBE CsTcAgTe2S, relaxed; raw total energy = -25.55 eV/f.u.
1.0
-6.184 6.448 0.170
4.834 -6.558 3.669
7.124 6.761 2.699
Ag Cs S Tc Te
2 2 2 2 4
direct
0.963 0.037 0.250
0.037 0.963 0.750
0.260 0.740 0.250
0.740 0.260 0.750
0.548 0.452 0.250
0.452 0.548 0.750
0.500 0.500 0.000
0.500 0.500 0.500
0.890 0.110 0.015
0.890 0.110 0.485
0.110 0.890 0.515
0.110 0.890 0.985


[13]
PBE NbNiAs, relaxed; raw total energy = -21.94 eV/f.u.
1.0
6.322 0.000 0.000
0.000 3.733 0.000
0.000 0.000 7.306
As Nb Ni
4 4 4
direct
0.286 0.750 0.121
0.786 0.750 0.379
0.214 0.250 0.621
0.714 0.250 0.879
0.981 0.250 0.165
0.481 0.250 0.335
0.519 0.750 0.665
0.019 0.750 0.835
0.658 0.750 0.071
0.158 0.750 0.429
0.842 0.250 0.571
0.342 0.250 0.929


[14]
PBE ZnFeTcPd, relaxed; formation enthalpy at 0 K = 0.19 eV per atom; raw total energy = -24.35 eV/f.u.
1.0
2.316 -3.548 0.736
-1.701 -3.252 2.242
-1.014 -3.679 -1.982
Fe Pd Tc Zn
1 1 1 1
direct
0.750 0.750 0.750
0.250 0.250 0.250
0.500 0.500 0.500
0.000 0.000 0.000


[15]
PBE ZrPd, relaxed; formation enthalpy at 0 K = -0.36 eV per atom; raw total energy = -14.44 eV/f.u.
1.0
5.155 0.000 0.000
0.000 11.695 0.000
0.000 0.000 4.903
Pd Zr
8 8
direct
0.012 0.255 0.000
0.512 0.375 0.000
0.012 0.495 0.000
0.539 0.875 0.000
0.794 0.375 0.500
0.321 0.755 0.500
0.821 0.875 0.500
0.321 0.995 0.500
0.050 0.001 0.000
0.549 0.142 0.000
0.549 0.608 0.000
0.050 0.749 0.000
0.784 0.108 0.500
0.283 0.249 0.500
0.283 0.501 0.500
0.784 0.642 0.500


[16]
PBE TcAg3Ge, relaxed; raw total energy = -17.96 eV/f.u.
1.0
4.825 0.000 0.000
0.000 4.825 0.000
0.000 0.000 4.825
Ag Ge Tc
3 1 1
direct
0.500 0.000 0.000
0.000 0.500 0.000
0.000 0.000 0.500
0.000 0.000 0.000
0.500 0.500 0.500


[17]
PBE ZrInCoHg, relaxed; raw total energy = -18.22 eV/f.u.
1.0
0.000 3.316 3.316
3.316 0.000 3.316
3.316 3.316 0.000
Co Hg In Zr
1 1 1 1
direct
0.750 0.750 0.750
0.500 0.500 0.500
0.000 0.000 0.000
0.250 0.250 0.250


[18]
PBE PrGaPt, relaxed; raw total energy = -15.36 eV/f.u.
1.0
0.000 3.289 3.289
3.289 0.000 3.289
3.289 3.289 0.000
Ga Pr Pt
1 1 1
direct
0.000 0.000 0.000
0.250 0.250 0.250
0.750 0.750 0.750


[19]
PBE ZrZnCoRe, relaxed; formation enthalpy at 0 K = 0.18 eV per atom; raw total energy = -28.62 eV/f.u.
1.0
-1.637 -3.371 -2.351
-3.747 -1.975 1.278
-3.702 0.541 -2.360
Co Re Zn Zr
1 1 1 1
direct
0.750 0.750 0.750
0.250 0.250 0.250
0.000 0.000 0.000
0.500 0.500 0.500


[20]
PBE Zr2CoC, relaxed; raw total energy = -34.77 eV/f.u.
1.0
-2.158 0.405 -2.416
2.897 -1.374 -0.612
-5.117 -11.929 2.571
C Co Zr
2 2 4
direct
0.000 0.000 0.000
0.000 0.000 0.500
0.667 0.333 0.250
0.333 0.667 0.750
0.333 0.667 0.102
0.333 0.667 0.398
0.667 0.333 0.602
0.667 0.333 0.898


[21]
PBE ScTaFeSb, relaxed; raw total energy = -29.73 eV/f.u.
1.0
0.000 3.275 3.275
3.275 0.000 3.275
3.275 3.275 0.000
Fe Sb Sc Ta
1 1 1 1
direct
0.750 0.750 0.750
0.000 0.000 0.000
0.250 0.250 0.250
0.500 0.500 0.500


[22]
PBE ZrBeNi2, relaxed; raw total energy = -23.97 eV/f.u.
1.0
0.000 2.962 2.962
2.962 0.000 2.962
2.962 2.962 0.000
Be Ni Zr
1 2 1
direct
0.500 0.500 0.500
0.000 0.000 0.000
0.750 0.750 0.750
0.250 0.250 0.250


[23]
PBE InHg3Ir2, relaxed; raw total energy = -17.96 eV/f.u.
1.0
5.665 0.000 0.000
-2.833 4.906 0.000
0.000 0.000 4.585
Hg In Ir
3 1 2
direct
0.500 0.000 0.000
0.000 0.500 0.000
0.500 0.500 0.000
0.000 0.000 0.500
0.333 0.667 0.499
0.667 0.333 0.501


[24]
PBE ScZn2Cu4Ni, relaxed; formation enthalpy at 0 K = -0.11 eV per atom; raw total energy = -30.14 eV/f.u.
1.0
-2.720 1.861 -2.660
-2.718 0.592 3.193
2.486 5.263 1.141
Cu Ni Sc Zn
4 1 1 2
direct
0.500 0.000 0.270
0.000 0.500 0.270
0.500 0.000 0.730
0.000 0.500 0.730
0.000 0.000 0.500
0.500 0.500 0.000
0.000 0.000 0.000
0.500 0.500 0.500


[25]
PBE LaPr2Mg3Ir2Pt, relaxed; raw total energy = -49.28 eV/f.u.
1.0
4.140 0.000 0.000
0.000 6.501 3.783
0.000 -6.501 3.783
Ir La Mg Pr Pt
2 1 3 2 1
direct
0.500 0.667 0.337
0.500 0.337 0.667
0.000 0.581 0.581
0.500 0.758 0.001
0.500 0.239 0.239
0.500 0.001 0.758
0.000 0.999 0.416
0.000 0.416 0.999
0.000 0.001 0.001